[1]
Pm4AgHgAu2 | PBE | optimized geometry

The structure in POSCAR format:
```
Pm4AgHgAu2
1.0
-3.974 -2.727 2.135
0.356 -1.725 4.969
-4.737 5.853 5.168
Pm Ag Hg Au
4 1 1 2
Cartesian
-5.484 3.415 7.172 Pm
-4.957 -1.670 8.166 Pm
-3.398 3.070 4.106 Pm
-2.871 -2.015 5.099 Pm
-4.178 0.700 6.136 Ag
0.000 0.000 0.000 Hg
-6.268 1.053 9.205 Au
-2.087 0.347 3.067 Au
```

Properties
Its formation energy is -575 meV/atom. The volume is 25.90 A^3/atom. The total magnetization comes out at 0.00 μB per atom. The total energy comes out at -33.306 eV per cell. Its space-group type is No. 166. The density comes out at 10.3 Mg/m³.

---

[2]
TeMoBr2 | PBE | optimized geometry

The structure in POSCAR format:
```
TeMoBr2
1.0
8.006 0.156 -0.236
7.287 3.321 -0.236
1.600 0.364 4.561
Mo Te Br
1 1 2
Cartesian
12.670 2.880 3.066 Mo
4.223 0.960 1.022 Te
3.050 0.693 4.030 Br
6.997 1.590 2.574 Br
```

Properties
The calculation puts the formation energy from raw total energies at 1.4 kcal/mol of atoms. The energy relative to the lowest polymorph listed for this composition comes out at 272 meV per atom. The volume is 29.34 A^3/atom. The total magnetization comes out at 0.15 μB per atom. The total energy comes out at -17.075 eV per cell. Its space-group type is No. 12. The density comes out at 5.4 Mg/m³.

---

[3]
Ac2Pr2Dy3 | PBE | optimized geometry

The structure in POSCAR format:
```
Ac2Pr2Dy3
1.0
3.598 0.000 0.000
0.000 5.830 -0.229
0.000 3.400 12.118
Ac Pr Dy
2 2 3
Cartesian
0.000 6.243 10.124 Ac
0.000 2.987 1.766 Ac
1.799 5.979 3.460 Pr
1.799 3.251 8.429 Pr
0.000 3.127 5.209 Dy
0.000 0.000 0.000 Dy
0.000 6.103 6.681 Dy
```

Properties
Its formation energy is 161 meV/atom. The volume is 36.71 A^3/atom. The total magnetization comes out at 0.00 μB per atom. The total energy comes out at -30.455 eV per cell. Its space-group type is No. 10. The density comes out at 7.9 Mg/m³.

---

[4]
LaTm5Cd3 | PBE | optimized geometry

The structure in POSCAR format:
```
LaTm5Cd3
1.0
6.908 0.000 0.000
0.000 9.157 0.000
0.000 -4.578 7.930
La Tm Cd
2 10 6
Cartesian
0.000 0.000 0.000 La
3.454 0.000 0.000 La
0.000 4.578 2.643 Tm
3.454 0.000 5.287 Tm
0.000 0.000 5.287 Tm
3.454 4.578 2.643 Tm
5.181 3.036 5.259 Tm
5.181 7.615 2.671 Tm
5.181 3.084 0.000 Tm
1.727 1.542 2.671 Tm
1.727 -3.036 5.259 Tm
1.727 6.073 0.000 Tm
5.181 1.548 2.682 Cd
5.181 6.127 5.248 Cd
5.181 6.060 0.000 Cd
1.727 3.030 5.248 Cd
1.727 -1.548 2.682 Cd
1.727 3.097 0.000 Cd
```

Properties
Its formation energy is -158 meV/atom. The volume is 27.87 A^3/atom. The total magnetization comes out at 0.00 μB per atom. The total energy comes out at -62.911 eV per cell. Its space-group type is No. 193. The density comes out at 8.7 Mg/m³.